Entry from Alexandria via LeMat-Bulk: a relaxed CsHgAuI2 crystal (PBE).

Output
For the raw total energy, the calculation gives -2.11 eV per atom. The calculation puts the uncorrected formation energy at -291 kJ/mol of formula units.

CIF file:
```
data_CsHgAuI2
_chemical_formula_sum 'Cs1 Hg1 Au1 I2'
_cell_length_a 6.047
_cell_length_b 6.047
_cell_length_c 5.480
_cell_angle_alpha 90.00
_cell_angle_beta 90.00
_cell_angle_gamma 90.00
_space_group_name_H-M_alt 'P 4/m m m'
_space_group_IT_number 123
_space_group_name_Hall '-P 4 2'
loop_
_atom_site_label
_atom_site_fract_x
_atom_site_fract_y
_atom_site_fract_z
_atom_site_occupancy
Cs1 0.000 0.000 0.000 1
Hg1 0.500 0.500 0.000 1
Au1 0.500 0.500 0.500 1
I1 0.000 0.500 0.500 1
```